VASP calculation (PBE) on a geometry-optimized NaCdIrW structure.

The energy relative to the lowest polymorph listed for this composition comes out at 110 meV per atom. As for the space group: F-43m, No. 216.

a b c (Å): 4.572 4.572 4.572
angles (deg): 60.00 60.00 60.00
Sites, in units of the cell vectors:
Na: 0.750 0.750 0.750
Cd: 0.500 0.500 0.500
W: 0.250 0.250 0.250
Ir: 0.000 0.000 0.000



VASP calculation (PBE) on a geometry-optimized NaCdIrW structure.

The energy relative to the lowest polymorph listed for this composition comes out at 0 meV per atom. As for the space group: F-43m, No. 216.

a b c (Å): 4.536 4.536 4.536
angles (deg): 60.00 60.00 60.00
Sites, in units of the cell vectors:
Na: 0.750 0.750 0.750
Ir: 0.250 0.250 0.250
Cd: 0.000 0.000 0.000
W: 0.500 0.500 0.500



VASP calculation (PBE) on a geometry-optimized NbCd2Ir structure.

The calculation puts the formation enthalpy at 0 K at 34 meV per atom. As for the space group: F-43m, No. 216.

a b c (Å): 4.646 4.646 4.646
angles (deg): 60.00 60.00 60.00
Sites, in units of the cell vectors:
Cd: 0.000 0.000 0.000
Nb: 0.500 0.500 0.500
Ir: 0.250 0.250 0.250
Cd: 0.750 0.750 0.750



VASP calculation (PBE) on a geometry-optimized NbCdIr2 structure.

The calculation puts the formation enthalpy at 0 K at 227 meV per atom. As for the space group: F-43m, No. 216.

a b c (Å): 4.549 4.549 4.549
angles (deg): 60.00 60.00 60.00
Sites, in units of the cell vectors:
Ir: 0.500 0.500 0.500
Nb: 0.000 0.000 0.000
Cd: 0.750 0.750 0.750
Ir: 0.250 0.250 0.250



VASP calculation (PBE) on a geometry-optimized NbCdIr structure.

The calculation puts the formation enthalpy at 0 K at 477 meV per atom. As for the space group: F-43m, No. 216.

a b c (Å): 4.431 4.431 4.431
angles (deg): 60.00 60.00 60.00
Sites, in units of the cell vectors:
Nb: 0.000 0.000 0.000
Ir: 0.750 0.750 0.750
Cd: 0.250 0.250 0.250



VASP calculation (PBE) on a geometry-optimized Nb2CdIr structure.

The calculation puts the formation enthalpy at 0 K at 114 meV per atom. As for the space group: F-43m, No. 216.

a b c (Å): 4.623 4.623 4.623
angles (deg): 60.00 60.00 60.00
Sites, in units of the cell vectors:
Ir: 0.250 0.250 0.250
Nb: 0.750 0.750 0.750
Cd: 0.500 0.500 0.500
Nb: 0.000 0.000 0.000



VASP calculation (PBE) on a geometry-optimized Nb4CdIr2 structure.

The calculation puts the formation enthalpy at 0 K at 608 meV per atom. As for the space group: P3m1, No. 156.

a b c (Å): 3.820 3.820 12.931
angles (deg): 90.02 90.02 60.01
Sites, in units of the cell vectors:
Nb: 0.000 0.000 0.462
Nb: 0.667 0.667 0.837
Cd: 0.000 0.000 0.687
Nb: 0.000 0.000 0.975
Ir: 0.333 0.333 0.370
Nb: 0.667 0.667 0.269
Ir: 0.667 0.667 0.068



VASP calculation (PBE) on a geometry-optimized NbCdIr structure.

The calculation puts the formation enthalpy at 0 K at 133 meV per atom. As for the space group: F-43m, No. 216.

a b c (Å): 4.419 4.419 4.419
angles (deg): 60.00 60.00 60.00
Sites, in units of the cell vectors:
Cd: 0.250 0.250 0.250
Nb: 0.750 0.750 0.750
Ir: 0.000 0.000 0.000



VASP calculation (PBE) on a geometry-optimized PrNd2Cd3Ir2Pt structure.

The calculation puts the formation enthalpy at 0 K at -618 meV per atom. As for the space group: Amm2, No. 38.

a b c (Å): 4.068 7.625 7.625
angles (deg): 120.02 90.00 90.00
Sites, in units of the cell vectors:
Ir: 0.500 0.333 0.668
Nd: 0.000 0.590 0.000
Pt: 0.000 0.999 0.999
Cd: 0.500 0.748 0.748
Nd: 0.000 0.000 0.590
Pr: 0.000 0.411 0.411
Cd: 0.500 0.252 0.000
Cd: 0.500 0.000 0.252
Ir: 0.500 0.668 0.333



VASP calculation (PBE) on a geometry-optimized Tb2NdCd3Ir2Pt structure.

The calculation puts the formation enthalpy at 0 K at -649 meV per atom. As for the space group: Amm2, No. 38.

a b c (Å): 3.992 7.548 7.548
angles (deg): 120.18 90.00 90.00
Sites, in units of the cell vectors:
Ir: 0.500 0.671 0.332
Cd: 0.500 0.999 0.256
Nd: 0.000 0.409 0.409
Tb: 0.000 0.592 0.000
Cd: 0.500 0.256 0.999
Pt: 0.000 0.996 0.996
Cd: 0.500 0.743 0.743
Ir: 0.500 0.332 0.671
Tb: 0.000 0.000 0.592



VASP calculation (PBE) on a geometry-optimized NdTm2Cd3Ir2Pt structure.

The calculation puts the formation enthalpy at 0 K at -647 meV per atom. As for the space group: Amm2, No. 38.

a b c (Å): 3.962 7.516 7.516
angles (deg): 120.34 90.00 90.00
Sites, in units of the cell vectors:
Ir: 0.500 0.331 0.674
Cd: 0.500 0.000 0.257
Tm: 0.000 0.000 0.593
Pt: 0.000 0.993 0.993
Cd: 0.500 0.741 0.741
Tm: 0.000 0.593 0.000
Ir: 0.500 0.674 0.331
Cd: 0.500 0.257 0.000
Nd: 0.000 0.409 0.409



VASP calculation (PBE) on a geometry-optimized Cd2Ni3Ir structure.

The calculation puts the formation enthalpy at 0 K at 645 meV per atom. As for the space group: Cmmm, No. 65.

a b c (Å): 5.028 5.028 4.054
angles (deg): 90.00 90.00 120.14
Sites, in units of the cell vectors:
Cd: 0.334 0.666 0.500
Ni: 0.500 0.000 0.000
Ni: 0.500 0.500 0.000
Ir: 0.000 0.000 0.500
Ni: 0.000 0.500 0.000
Cd: 0.666 0.334 0.500



Size of the total moment / μB/cell: 0.00 0.00 0.00 0.00 0.00 0.37 0.39 1.06 0.00 0.00 0.00 0.82